Entry 1:
Material: Li3BeSi
Method: DFT, PBE
State: relaxed

Cell and atoms, written as POSCAR:
```
Li3BeSi
1.0
4.695 0.000 0.000
0.000 4.695 0.000
0.000 0.000 4.695
Li Be Si
3 1 1
direct
0.000 0.000 0.500
0.000 0.500 0.000
0.500 0.000 0.000
0.500 0.500 0.500
0.000 0.000 0.000
```

Values from the calculation:
Energy above the most stable polymorph in this dataset   0.040 eV/atom
Total DFT energy (no corrections)   -2.343 eV/atom
ΔE_f (raw)   0.63 eV/atom

---

Entry 2:
Material: Mn4BeV
Method: DFT, PBE
State: relaxed

Cell and atoms, written as POSCAR:
```
Mn4BeV
1.0
3.818 0.000 0.000
0.000 3.818 0.000
0.000 0.000 5.614
Mn Be V
4 1 1
direct
0.000 0.500 0.234
0.000 0.500 0.766
0.500 0.000 0.234
0.500 0.000 0.766
0.000 0.000 0.000
0.500 0.500 0.500
```

Values from the calculation:
Energy above the most stable polymorph in this dataset   0.477 eV/atom
Total DFT energy (no corrections)   -7.704 eV/atom
Formation energy   0.5502 eV/atom

---

Entry 3:
Material: MoBr5
Method: DFT, PBE
State: relaxed

Cell and atoms, written as POSCAR:
```
MoBr5
1.0
-4.402 4.402 2.623
4.402 -4.402 2.623
4.402 4.402 -2.623
Mo Br
1 5
direct
0.000 0.000 0.000
0.082 0.732 0.813
0.268 0.082 0.350
0.500 0.500 0.000
0.732 0.918 0.650
0.918 0.268 0.187
```

Values from the calculation:
Energy above the most stable polymorph in this dataset   0.000 eV/atom
Total DFT energy (no corrections)   -3.529 eV/atom
ΔE_f (raw)   -0.33 eV/atom